YPbAuS3, relaxed, DFT PBE; space-group type = Cmcm (63); relative energy among the computed polymorphs = 26.3 meV/atom
1.0
2.001 -6.607 0.000
2.001 6.607 0.000
0.000 0.000 10.435
Y Pb Au S
2 2 2 6
Cartesian
0.000 0.000 0.000
0.000 0.000 5.218
2.001 3.343 7.827
2.001 -3.343 2.609
2.001 0.588 2.609
2.001 -0.588 7.827
2.001 5.450 2.609
2.001 1.863 0.512
2.001 1.863 4.705
2.001 -1.863 5.730
2.001 -1.863 9.923
2.001 -5.450 7.827

YPbAuS3, relaxed, DFT PBE; space-group type = P2_1/m (11); relative energy among the computed polymorphs = 18.5 meV/atom
1.0
7.673 0.000 0.000
0.000 4.001 0.000
-2.872 0.000 9.347
Y Pb Au S
2 2 2 6
Cartesian
0.997 1.000 1.527
3.804 3.001 7.820
-0.248 3.001 6.605
5.048 1.000 2.742
1.609 3.001 3.914
3.191 1.000 5.434
-1.931 1.000 8.144
0.081 1.000 4.237
2.871 3.001 1.729
1.929 1.000 7.618
4.719 3.001 5.111
6.731 3.001 1.203

SrSb2PbAu2, relaxed, DFT PBE; space-group type = P3m1 (156); DFT total energy = -23.04 eV per cell
1.0
4.733 0.000 0.000
-2.366 4.099 0.000
0.000 0.000 8.677
Sr Sb Pb Au
1 2 1 2
Cartesian
0.000 0.000 0.000
0.000 2.733 6.483
2.366 1.366 2.169
0.000 0.000 4.335
0.000 2.733 2.202
2.366 1.366 6.531

ScPbAu, relaxed, DFT PBE; space-group type = P-62m (189); DFT total energy = -43.41 eV per cell
1.0
7.625 0.000 0.000
-3.813 6.604 0.000
0.000 0.000 4.049
Sc Pb Au
3 3 3
Cartesian
-2.323 4.023 0.000
1.490 2.580 0.000
4.646 0.000 0.000
-1.038 1.798 2.025
2.076 0.000 2.025
2.774 4.806 2.025
0.000 0.000 0.000
0.000 4.402 2.025
3.813 2.201 2.025

ScPb2Au, relaxed, DFT PBE; space-group type = F-43m (216); DFT total energy = -17.50 eV per cell
1.0
0.000 3.672 3.672
3.672 0.000 3.672
3.672 3.672 0.000
Sc Pb Au
1 2 1
Cartesian
0.000 0.000 0.000
3.672 3.672 3.672
5.508 5.508 5.508
1.836 1.836 1.836

ScPbAu, relaxed, DFT PBE; space-group type = P-62m (189); DFT total energy = -42.96 eV per cell
1.0
7.398 0.000 0.000
-3.699 6.407 0.000
0.000 0.000 4.274
Sc Pb Au
3 3 3
Cartesian
-2.123 3.677 0.000
1.576 2.730 0.000
4.245 0.000 0.000
0.000 0.000 0.000
0.000 4.271 2.137
3.699 2.136 2.137
-0.964 1.670 2.137
1.929 0.000 2.137
2.735 4.737 2.137

ScPbAu, relaxed, DFT PBE; space-group type = Pnma (62); DFT total energy = -57.69 eV per cell
1.0
7.179 0.000 0.000
0.000 4.483 0.000
0.000 0.000 8.420
Sc Pb Au
4 4 4
Cartesian
0.223 1.121 1.942
3.366 3.362 6.152
3.813 1.121 2.269
6.956 3.362 6.479
1.496 1.121 7.645
2.094 3.362 3.435
5.085 1.121 4.985
5.684 3.362 0.775
0.924 1.121 4.849
2.666 3.362 0.638
4.514 1.121 7.782
6.255 3.362 3.572

ScPbAu, relaxed, DFT PBE; space-group type = Pnma (62); DFT total energy = -57.57 eV per cell
1.0
8.041 0.000 0.000
0.000 3.714 0.000
0.000 0.000 9.250
Sc Pb Au
4 4 4
Cartesian
1.946 0.929 0.968
2.074 2.786 5.593
5.967 0.929 3.657
6.095 2.786 8.282
0.479 0.929 7.465
3.541 2.786 2.840
4.500 0.929 6.411
7.561 2.786 1.785
0.938 0.929 3.779
3.083 2.786 8.405
4.958 0.929 0.846
7.103 2.786 5.471

ScPbAu2, relaxed, DFT PBE; space-group type = F-43m (216); DFT total energy = -17.88 eV per cell
1.0
0.000 3.447 3.447
3.447 0.000 3.447
3.447 3.447 0.000
Sc Pb Au
1 1 2
Cartesian
0.000 0.000 0.000
5.171 5.171 5.171
1.724 1.724 1.724
3.447 3.447 3.447

ScPbAuSe3, relaxed, DFT PBE; space-group type = Cmcm (63); relative energy among the computed polymorphs = 32.0 meV/atom
1.0
1.976 -6.886 0.000
1.976 6.886 0.000
0.000 0.000 10.352
Sc Pb Au Se
2 2 2 6
Cartesian
0.000 0.000 0.000
0.000 0.000 5.176
1.976 3.689 7.764
1.976 -3.689 2.588
1.976 0.602 2.588
1.976 -0.602 7.764
1.976 5.690 2.588
1.976 1.915 0.378
1.976 1.915 4.799
1.976 -1.915 5.554
1.976 -1.915 9.975
1.976 -5.690 7.764